# 1
DFT (PBE) results for crystalline Bi3TeRh at its relaxed geometry.

Cell lengths 8.305, 4.382, 9.037 Å; angles 90.00, 113.46, 90.00 degrees
Fractional positions:
Bi  0.138  0.250  0.153
Bi  0.169  0.250  0.763
Bi  0.265  0.750  0.504
Bi  0.735  0.250  0.496
Bi  0.831  0.750  0.237
Bi  0.862  0.750  0.847
Te  0.416  0.750  0.189
Te  0.584  0.250  0.811
Rh  0.029  0.250  0.407
Rh  0.971  0.750  0.593

Calculated values
Space-group type = P2_1/m
Uncorrected formation energy = -0.1700 eV/atom
ΔE to the lowest computed polymorph = 0 meV/atom

---

# 2
DFT (PBE) results for crystalline NpSi3Ir at its relaxed geometry.

Cell lengths 5.733, 5.733, 5.733 Å; angles 137.37, 137.37, 61.86 degrees
Fractional positions:
Np  0.000  0.000  0.000
Si  0.229  0.729  0.500
Si  0.580  0.580  0.000
Si  0.729  0.229  0.500
Ir  0.343  0.343  0.000

Calculated values
Space-group type = I4mm
Uncorrected formation energy = -0.5306 eV/atom
ΔE to the lowest computed polymorph = 0 meV/atom

---

# 3
DFT (PBE) results for crystalline Re2PdPb2 at its relaxed geometry.

Cell lengths 9.054, 9.054, 9.054 Å; angles 157.44, 157.44, 32.11 degrees
Fractional positions:
Re  0.250  0.750  0.500
Re  0.750  0.250  0.500
Pd  0.000  0.000  0.000
Pb  0.398  0.398  0.000
Pb  0.602  0.602  0.000

Calculated values
Space-group type = I4/mmm
ΔE to the lowest computed polymorph = 0 meV/atom

---

no.,total magnetization (μB per atom),calculated total energy (eV/atom)
1,0.00,-4.5972
2,0.77,-8.1448
3,0.00,-6.8690